1.
A geometry-optimized Ba4NaInHg2 structure, computed with GGA-PBE.

Geometry as POSCAR:
```
Ba4NaInHg2
1.0
3.0447 1.7578 9.9752
-3.0447 1.7578 9.9752
0.0000 -3.5157 9.9752
Ba Na In Hg
4 1 1 2
direct
0.1190 0.1190 0.1190 Ba
0.3688 0.3688 0.3688 Ba
0.6312 0.6312 0.6312 Ba
0.8810 0.8810 0.8810 Ba
0.5000 0.5000 0.5000 Na
0.0000 0.0000 0.0000 In
0.2444 0.2444 0.2444 Hg
0.7556 0.7556 0.7556 Hg
```

Properties
Fermi-level density of states ... 0.6983 states/eV/atom
E_tot ... -1.906 eV per atom
SG ... R-3m



2.
A geometry-optimized BaNaIn2Hg4 structure, computed with GGA-PBE.

Geometry as POSCAR:
```
BaNaIn2Hg4
1.0
2.6214 1.5135 9.3706
-2.6214 1.5135 9.3706
0.0000 -3.0270 9.3706
Ba Na In Hg
1 1 2 4
direct
0.0000 0.0000 0.0000 Ba
0.5000 0.5000 0.5000 Na
0.2444 0.2444 0.2444 In
0.7556 0.7556 0.7556 In
0.1318 0.1318 0.1318 Hg
0.3912 0.3912 0.3912 Hg
0.6088 0.6088 0.6088 Hg
0.8682 0.8682 0.8682 Hg
```

Properties
Fermi-level density of states ... 0.4948 states/eV/atom
E_tot ... -1.534 eV per atom
SG ... R-3m



3.
A geometry-optimized Ba4NaIn2Hg structure, computed with GGA-PBE.

Geometry as POSCAR:
```
Ba4NaIn2Hg
1.0
3.0442 1.7576 9.9715
-3.0442 1.7576 9.9715
0.0000 -3.5151 9.9715
Ba Na In Hg
4 1 2 1
direct
0.1193 0.1193 0.1193 Ba
0.3699 0.3699 0.3699 Ba
0.6301 0.6301 0.6301 Ba
0.8807 0.8807 0.8807 Ba
0.5000 0.5000 0.5000 Na
0.2453 0.2453 0.2453 In
0.7547 0.7547 0.7547 In
0.0000 0.0000 0.0000 Hg
```

Properties
Fermi-level density of states ... 0.9181 states/eV/atom
E_tot ... -2.201 eV per atom
SG ... R-3m



no.,size of the total moment (μB per formula unit)
1,0.0
2,0.0
3,0.0